1.
A plane-wave DFT calculation with GGA-PBE was carried out for a relaxed structure of Mg2SbH.

Properties
* space group: No. 225
* D(E_F): 0.1 states/eV/cell
* spin magnetization: 0.0000 μB/atom

a = 4.755 Å, b = 4.755 Å, c = 4.755 Å
α = 60.00°, β = 60.00°, γ = 60.00°
Sites, in units of the cell vectors:
Mg (0.250, 0.250, 0.250)
Mg (0.750, 0.750, 0.750)
Sb (0.000, 0.000, 0.000)
H (0.500, 0.500, 0.500)


2.
A plane-wave DFT calculation with GGA-PBE was carried out for a relaxed structure of Mg2SbH.

Properties
* space group: No. 1
* D(E_F): 0.0 states/eV/cell
* spin magnetization: 0.0000 μB/atom

a = 4.490 Å, b = 5.564 Å, c = 7.252 Å
α = 72.23°, β = 89.99°, γ = 89.95°
Sites, in units of the cell vectors:
Mg (0.000, 0.000, 0.000)
Mg (0.028, 0.394, 0.280)
Mg (0.500, 0.265, 0.657)
Mg (0.529, 0.871, 0.377)
Sb (0.000, 0.955, 0.619)
Sb (0.499, 0.311, 0.038)
H (0.431, 0.532, 0.429)
H (0.930, 0.733, 0.228)


Energy above the most stable structure, in meV per atom: 1 278; 2 0


1.
A plane-wave DFT calculation with GGA-PBE was carried out for a relaxed structure of Mg3SbH.

Properties
* space group: No. 221
* D(E_F): 2.1 states/eV/cell
* spin magnetization: 0.0000 μB/atom

a = 4.531 Å, b = 4.531 Å, c = 4.531 Å
α = 90.00°, β = 90.00°, γ = 90.00°
Sites, in units of the cell vectors:
Mg (0.000, 0.000, 0.500)
Mg (0.000, 0.500, 0.000)
Mg (0.500, 0.000, 0.000)
Sb (0.500, 0.500, 0.500)
H (0.000, 0.000, 0.000)


2.
A plane-wave DFT calculation with GGA-PBE was carried out for a relaxed structure of Mg3SbH.

Properties
* space group: No. 2
* D(E_F): 1.4 states/eV/cell
* spin magnetization: 0.0000 μB/atom

a = 4.377 Å, b = 5.613 Å, c = 9.456 Å
α = 102.25°, β = 100.32°, γ = 93.46°
Sites, in units of the cell vectors:
Mg (0.051, 0.434, 0.163)
Mg (0.203, 0.775, 0.565)
Mg (0.275, 0.105, 0.896)
Mg (0.725, 0.895, 0.104)
Mg (0.797, 0.225, 0.435)
Mg (0.949, 0.566, 0.837)
Sb (0.377, 0.312, 0.651)
Sb (0.623, 0.688, 0.349)
H (0.021, 0.835, 0.748)
H (0.979, 0.165, 0.252)


Energy above the most stable structure, in meV per atom: 1 58; 2 0


1.
A plane-wave DFT calculation with GGA-PBE was carried out for a relaxed structure of Mg3Sb2H.

Properties
* space group: No. 15
* D(E_F): 3.4 states/eV/cell
* spin magnetization: 0.0000 μB/atom

a = 8.004 Å, b = 8.004 Å, c = 7.337 Å
α = 103.27°, β = 103.27°, γ = 34.86°
Sites, in units of the cell vectors:
Mg (0.048, 0.952, 0.750)
Mg (0.349, 0.363, 0.177)
Mg (0.363, 0.349, 0.677)
Mg (0.637, 0.651, 0.323)
Mg (0.651, 0.637, 0.823)
Mg (0.952, 0.048, 0.250)
Sb (0.153, 0.154, 0.577)
Sb (0.154, 0.153, 0.077)
Sb (0.846, 0.847, 0.923)
Sb (0.847, 0.846, 0.423)
H (0.473, 0.527, 0.750)
H (0.527, 0.473, 0.250)


2.
A plane-wave DFT calculation with GGA-PBE was carried out for a relaxed structure of Mg3Sb2H.

Properties
* space group: No. 62
* D(E_F): 2.9 states/eV/cell
* spin magnetization: 0.0000 μB/atom

a = 8.587 Å, b = 3.640 Å, c = 16.155 Å
α = 90.00°, β = 90.00°, γ = 90.00°
Sites, in units of the cell vectors:
Mg (0.038, 0.250, 0.103)
Mg (0.122, 0.250, 0.582)
Mg (0.191, 0.750, 0.271)
Mg (0.309, 0.250, 0.771)
Mg (0.378, 0.750, 0.082)
Mg (0.462, 0.750, 0.603)
Mg (0.538, 0.250, 0.397)
Mg (0.622, 0.250, 0.918)
Mg (0.691, 0.750, 0.229)
Mg (0.809, 0.250, 0.729)
Mg (0.878, 0.750, 0.418)
Mg (0.962, 0.750, 0.897)
Sb (0.068, 0.750, 0.720)
Sb (0.247, 0.250, 0.954)
Sb (0.253, 0.750, 0.454)
Sb (0.432, 0.250, 0.220)
Sb (0.568, 0.750, 0.780)
Sb (0.747, 0.250, 0.546)
Sb (0.753, 0.750, 0.046)
Sb (0.932, 0.250, 0.280)
H (0.141, 0.750, 0.134)
H (0.359, 0.250, 0.634)
H (0.641, 0.750, 0.366)
H (0.859, 0.250, 0.866)


Energy above the most stable structure, in meV per atom: 1 51; 2 0